A relaxed HfSb2TeC crystal. Source: the Alexandria database, functional PBE-GGA.

POSCAR file:
```
HfSb2TeC
1.0
4.723 0.000 0.000
0.000 4.723 0.000
0.000 0.000 4.737
C Te Sb Hf
1 1 2 1
Direct
0.000 0.000 0.000
0.000 0.000 0.500
0.500 0.000 0.000
0.000 0.500 0.000
0.500 0.500 0.500
```

Properties
**M_tot**: 0.00 μB per formula unit
**Symmetry**: P4/mmm (123)
**Polymorph energy (0 for the lowest one)**: 0.000 eV per atom
**Density of states at the Fermi level**: 0.548 states/eV per atom
**ΔE_f (raw)**: 802 meV per atom
**Raw total energy**: -0.1951 hartree per atom
**Calculated density**: 8.8 Mg/m³